# 1
A plane-wave DFT calculation with PBE was carried out for a relaxed structure of SrIn2Tc2.

Cell and atoms, written as POSCAR:
```
SrIn2Tc2
1.0
-2.472 2.472 4.870
2.472 -2.472 4.870
2.472 2.472 -4.870
Sr In Tc
1 2 2
direct
0.000 0.000 0.000
0.250 0.750 0.500
0.750 0.250 0.500
0.388 0.388 0.000
0.612 0.612 0.000
```

**Crystal system**: tetragonal
**DFT formation energy**: 0.175 eV/atom
**E above lowest polymorph**: 0.000 eV/atom

---

# 2
A plane-wave DFT calculation with PBE was carried out for a relaxed structure of SrIn2Tc.

Cell and atoms, written as POSCAR:
```
SrIn2Tc
1.0
-1.643 2.247 7.234
1.643 -2.247 7.234
1.643 2.247 -7.234
Sr In Tc
1 2 1
direct
0.000 0.000 0.000
0.347 0.347 0.000
0.685 0.185 0.500
0.192 0.692 0.500
```

**Crystal system**: orthorhombic
**DFT formation energy**: 0.166 eV/atom
**E above lowest polymorph**: 0.083 eV/atom

---

# 3
A plane-wave DFT calculation with PBE was carried out for a relaxed structure of SrIn2Tc.

Cell and atoms, written as POSCAR:
```
SrIn2Tc
1.0
4.078 -2.251 0.000
4.078 2.251 0.000
-2.475 0.000 5.894
Sr In Tc
1 2 1
direct
0.000 0.000 0.000
0.213 0.213 0.640
0.787 0.787 0.360
0.500 0.500 0.500
```

**Crystal system**: monoclinic
**DFT formation energy**: 0.163 eV/atom
**E above lowest polymorph**: 0.080 eV/atom

---

# 4
A plane-wave DFT calculation with PBE was carried out for a relaxed structure of SrIn2Tc.

Cell and atoms, written as POSCAR:
```
SrIn2Tc
1.0
3.422 0.000 0.000
0.000 4.290 0.000
0.000 0.000 7.344
Sr In Tc
1 2 1
direct
0.000 0.000 0.000
0.500 0.000 0.607
0.500 0.500 0.304
0.000 0.500 0.612
```

**Crystal system**: orthorhombic
**DFT formation energy**: 0.235 eV/atom
**E above lowest polymorph**: 0.151 eV/atom

---

# 5
A plane-wave DFT calculation with PBE was carried out for a relaxed structure of SrIn3Tc.

Cell and atoms, written as POSCAR:
```
SrIn3Tc
1.0
5.230 0.000 0.000
0.000 5.230 0.000
0.000 0.000 5.230
Sr In Tc
1 3 1
direct
0.000 0.000 0.000
0.000 0.500 0.500
0.500 0.000 0.500
0.500 0.500 0.000
0.500 0.500 0.500
```

**Crystal system**: cubic
**DFT formation energy**: -0.089 eV/atom
**E above lowest polymorph**: 0.000 eV/atom

---

# 6
A plane-wave DFT calculation with PBE was carried out for a relaxed structure of SrIn2Tc2.

Cell and atoms, written as POSCAR:
```
SrIn2Tc2
1.0
8.316 0.000 0.000
0.000 8.316 0.000
0.000 0.000 3.100
Sr In Tc
2 4 4
direct
0.000 0.000 0.000
0.500 0.500 0.000
0.184 0.316 0.500
0.316 0.816 0.500
0.684 0.184 0.500
0.816 0.684 0.500
0.100 0.600 0.000
0.400 0.100 0.000
0.600 0.900 0.000
0.900 0.400 0.000
```

**Crystal system**: tetragonal
**DFT formation energy**: 0.234 eV/atom
**E above lowest polymorph**: 0.059 eV/atom

---

# 7
A plane-wave DFT calculation with PBE was carried out for a relaxed structure of Sr3InTc.

Cell and atoms, written as POSCAR:
```
Sr3InTc
1.0
5.731 0.000 0.000
0.000 5.731 0.000
0.000 0.000 5.731
Sr In Tc
3 1 1
direct
0.000 0.000 0.500
0.000 0.500 0.000
0.500 0.000 0.000
0.500 0.500 0.500
0.000 0.000 0.000
```

**Crystal system**: cubic
**DFT formation energy**: 0.492 eV/atom
**E above lowest polymorph**: 0.000 eV/atom

---

# 8
A plane-wave DFT calculation with PBE was carried out for a relaxed structure of SrInTc3.

Cell and atoms, written as POSCAR:
```
SrInTc3
1.0
5.100 0.000 0.000
0.000 5.100 0.000
0.000 0.000 5.100
Sr In Tc
1 1 3
direct
0.000 0.000 0.000
0.500 0.500 0.500
0.000 0.500 0.500
0.500 0.000 0.500
0.500 0.500 0.000
```

**Crystal system**: cubic
**DFT formation energy**: 1.768 eV/atom
**E above lowest polymorph**: 0.000 eV/atom

---

# 9
A plane-wave DFT calculation with PBE was carried out for a relaxed structure of SrIn2Tc.

Cell and atoms, written as POSCAR:
```
SrIn2Tc
1.0
1.712 0.989 9.866
-1.712 0.989 9.866
0.000 -1.977 9.866
Sr In Tc
1 2 1
direct
0.000 0.000 0.000
0.232 0.232 0.232
0.478 0.478 0.478
0.746 0.746 0.746
```

**Crystal system**: trigonal
**DFT formation energy**: 0.505 eV/atom
**E above lowest polymorph**: 0.422 eV/atom

---

# 10
A plane-wave DFT calculation with PBE was carried out for a relaxed structure of SrIn2Tc.

Cell and atoms, written as POSCAR:
```
SrIn2Tc
1.0
-1.942 2.619 4.766
1.942 -2.619 4.766
1.942 2.619 -4.766
Sr In Tc
1 2 1
direct
0.000 0.000 0.000
0.284 0.784 0.500
0.716 0.216 0.500
0.500 0.500 0.000
```

**Crystal system**: orthorhombic
**DFT formation energy**: 0.252 eV/atom
**E above lowest polymorph**: 0.168 eV/atom

---

# 11
A plane-wave DFT calculation with PBE was carried out for a relaxed structure of SrIn2Tc.

Cell and atoms, written as POSCAR:
```
SrIn2Tc
1.0
4.625 0.000 0.000
0.000 4.625 0.000
0.000 0.000 4.580
Sr In Tc
1 2 1
direct
0.000 0.000 0.000
0.000 0.500 0.500
0.500 0.000 0.500
0.500 0.500 0.000
```

**Crystal system**: tetragonal
**DFT formation energy**: 0.407 eV/atom
**E above lowest polymorph**: 0.323 eV/atom

---

# 12
A plane-wave DFT calculation with PBE was carried out for a relaxed structure of SrIn2Tc.

Cell and atoms, written as POSCAR:
```
SrIn2Tc
1.0
3.506 0.000 0.000
0.000 3.506 0.000
0.000 0.000 7.729
Sr In Tc
1 2 1
direct
0.000 0.000 0.000
0.500 0.500 0.310
0.500 0.500 0.690
0.000 0.000 0.500
```

**Crystal system**: tetragonal
**DFT formation energy**: 0.084 eV/atom
**E above lowest polymorph**: 0.000 eV/atom

---

# 13
A plane-wave DFT calculation with PBE was carried out for a relaxed structure of SrInTc3.

Cell and atoms, written as POSCAR:
```
SrInTc3
1.0
4.849 0.000 0.000
0.000 4.849 0.000
0.000 0.000 4.849
Sr In Tc
1 1 3
direct
0.000 0.000 0.000
0.500 0.500 0.500
0.000 0.000 0.500
0.000 0.500 0.000
0.500 0.000 0.000
```

**Crystal system**: cubic
**DFT formation energy**: 2.664 eV/atom
**E above lowest polymorph**: 0.896 eV/atom

---

# 14
A plane-wave DFT calculation with PBE was carried out for a relaxed structure of SrIn2Tc.

Cell and atoms, written as POSCAR:
```
SrIn2Tc
1.0
0.000 3.611 3.611
3.611 0.000 3.611
3.611 3.611 0.000
Sr In Tc
1 2 1
direct
0.000 0.000 0.000
0.250 0.250 0.250
0.750 0.750 0.750
0.500 0.500 0.500
```

**Crystal system**: cubic
**DFT formation energy**: 0.305 eV/atom
**E above lowest polymorph**: 0.221 eV/atom

---

# 15
A plane-wave DFT calculation with PBE was carried out for a relaxed structure of SrIn2Tc.

Cell and atoms, written as POSCAR:
```
SrIn2Tc
1.0
3.132 -4.622 0.000
3.132 4.622 0.000
-0.016 0.000 3.271
Sr In Tc
1 2 1
direct
0.000 0.000 0.000
0.000 0.500 0.500
0.500 0.000 0.500
0.500 0.500 0.000
```

**Crystal system**: monoclinic
**DFT formation energy**: 0.436 eV/atom
**E above lowest polymorph**: 0.353 eV/atom

---

# 16
A plane-wave DFT calculation with PBE was carried out for a relaxed structure of SrIn2Tc.

Cell and atoms, written as POSCAR:
```
SrIn2Tc
1.0
1.835 1.060 8.969
-1.835 1.060 8.969
0.000 -2.119 8.969
Sr In Tc
1 2 1
direct
0.000 0.000 0.000
0.233 0.233 0.233
0.767 0.767 0.767
0.500 0.500 0.500
```

**Crystal system**: trigonal
**DFT formation energy**: 0.332 eV/atom
**E above lowest polymorph**: 0.249 eV/atom

---

# 17
A plane-wave DFT calculation with PBE was carried out for a relaxed structure of SrTi2InTc.

Cell and atoms, written as POSCAR:
```
SrTi2InTc
1.0
4.795 0.000 0.000
0.000 4.795 0.000
0.000 0.000 5.357
Sr Ti In Tc
1 2 1 1
direct
0.000 0.000 0.000
0.000 0.500 0.500
0.500 0.000 0.500
0.500 0.500 0.000
0.500 0.500 0.500
```

**Crystal system**: tetragonal
**DFT formation energy**: 0.191 eV/atom

---

# 18
A plane-wave DFT calculation with PBE was carried out for a relaxed structure of SrYIn2Tc.

Cell and atoms, written as POSCAR:
```
SrYIn2Tc
1.0
5.726 0.000 0.000
0.000 5.726 0.000
0.000 0.000 6.141
Sr Y In Tc
1 1 2 1
direct
0.000 0.000 0.000
0.000 0.000 0.500
0.000 0.500 0.500
0.500 0.000 0.500
0.500 0.500 0.000
```

**Crystal system**: tetragonal
**DFT formation energy**: 1.468 eV/atom

---

# 19
A plane-wave DFT calculation with PBE was carried out for a relaxed structure of SrInTe2.

Cell and atoms, written as POSCAR:
```
SrInTe2
1.0
-3.517 3.517 7.660
3.517 -3.517 7.660
3.517 3.517 -7.660
Sr In Te
2 2 4
direct
0.000 0.000 0.000
0.750 0.250 0.500
0.250 0.750 0.500
0.500 0.500 0.000
0.156 0.625 0.031
0.375 0.406 0.531
0.594 0.125 0.969
0.875 0.844 0.469
```

**E_form (uncorrected)**: -786 meV per atom
**Crystal system**: tetragonal

---

# 20
A plane-wave DFT calculation with PBE was carried out for a relaxed structure of SrIn2Te.

Cell and atoms, written as POSCAR:
```
SrIn2Te
1.0
-4.546 4.546 3.292
4.546 -4.546 3.292
4.546 4.546 -3.292
Sr In Te
2 4 2
direct
0.000 0.000 0.000
0.750 0.250 0.500
0.151 0.625 0.026
0.375 0.401 0.526
0.599 0.125 0.974
0.875 0.849 0.474
0.250 0.750 0.500
0.500 0.500 0.000
```

**E_form (uncorrected)**: -445 meV per atom
**Crystal system**: tetragonal

---

# 21
A plane-wave DFT calculation with PBE was carried out for a relaxed structure of SrInTe2.

Cell and atoms, written as POSCAR:
```
SrInTe2
1.0
3.523 -4.227 0.000
3.523 4.227 0.000
0.000 0.000 4.308
Sr In Te
1 1 2
direct
0.000 0.000 0.000
0.500 0.500 0.000
0.000 0.500 0.500
0.500 0.000 0.500
```

**E_form (uncorrected)**: -806 meV per atom
**Crystal system**: orthorhombic

---

# 22
A plane-wave DFT calculation with PBE was carried out for a relaxed structure of Sr2InTe2.

Cell and atoms, written as POSCAR:
```
Sr2InTe2
1.0
9.000 0.000 0.000
0.000 9.000 0.000
0.000 0.000 4.330
Sr In Te
4 2 4
direct
0.155 0.345 0.000
0.345 0.845 0.000
0.655 0.155 0.000
0.845 0.655 0.000
0.000 0.000 0.500
0.500 0.500 0.500
0.150 0.650 0.500
0.350 0.150 0.500
0.650 0.850 0.500
0.850 0.350 0.500
```

**E_form (uncorrected)**: -1150 meV per atom
**Crystal system**: tetragonal
**E above lowest polymorph**: 0.000 eV/atom

---

# 23
A plane-wave DFT calculation with PBE was carried out for a relaxed structure of Sr2InTe2.

Cell and atoms, written as POSCAR:
```
Sr2InTe2
1.0
9.078 0.000 0.000
0.000 9.078 0.000
0.000 0.000 4.264
Sr In Te
4 2 4
direct
0.146 0.354 0.000
0.354 0.854 0.000
0.646 0.146 0.000
0.854 0.646 0.000
0.000 0.000 0.000
0.500 0.500 0.000
0.159 0.659 0.500
0.341 0.159 0.500
0.659 0.841 0.500
0.841 0.341 0.500
```

**E_form (uncorrected)**: -1000 meV per atom
**Crystal system**: tetragonal
**E above lowest polymorph**: 0.150 eV/atom

---

# 24
A plane-wave DFT calculation with PBE was carried out for a relaxed structure of SrIn2Te4.

Cell and atoms, written as POSCAR:
```
SrIn2Te4
1.0
3.622 -5.950 0.000
3.622 5.950 0.000
0.000 0.000 12.013
Sr In Te
2 4 8
direct
0.000 0.000 0.250
0.000 0.000 0.750
0.265 0.729 0.000
0.271 0.735 0.500
0.729 0.265 0.500
0.735 0.271 0.000
0.000 0.500 0.184
0.000 0.500 0.816
0.154 0.289 0.500
0.289 0.154 0.000
0.500 0.000 0.316
0.500 0.000 0.684
0.711 0.846 0.000
0.846 0.711 0.500
```

**E_form (uncorrected)**: -733 meV per atom
**Crystal system**: orthorhombic

---

# 25
A plane-wave DFT calculation with PBE was carried out for a relaxed structure of SrIn2Te.

Cell and atoms, written as POSCAR:
```
SrIn2Te
1.0
4.316 0.000 0.000
0.000 4.316 0.000
0.000 0.000 6.923
Sr In Te
1 2 1
direct
0.000 0.000 0.000
0.000 0.000 0.500
0.500 0.500 0.680
0.500 0.500 0.195
```

**E_form (uncorrected)**: -552 meV per atom
**Crystal system**: tetragonal

---

# 26
A plane-wave DFT calculation with PBE was carried out for a relaxed structure of SrInTe2.

Cell and atoms, written as POSCAR:
```
SrInTe2
1.0
5.573 0.000 0.000
0.000 5.573 0.000
0.000 0.000 4.054
Sr In Te
1 1 2
direct
0.000 0.000 0.000
0.500 0.500 0.000
0.000 0.500 0.500
0.500 0.000 0.500
```

**E_form (uncorrected)**: -801 meV per atom
**Crystal system**: tetragonal

---

# 27
A plane-wave DFT calculation with PBE was carried out for a relaxed structure of SrIn2Te4.

Cell and atoms, written as POSCAR:
```
SrIn2Te4
1.0
-3.100 3.100 7.553
3.100 -3.100 7.553
3.100 3.100 -7.553
Sr In Te
1 2 4
direct
0.000 0.000 0.000
0.408 0.408 0.000
0.592 0.592 0.000
0.000 0.500 0.500
0.230 0.230 0.000
0.500 0.000 0.500
0.770 0.770 0.000
```

**E_form (uncorrected)**: -208 meV per atom
**Crystal system**: tetragonal

---

# 28
A plane-wave DFT calculation with PBE was carried out for a relaxed structure of SrIn2Te.

Cell and atoms, written as POSCAR:
```
SrIn2Te
1.0
4.660 0.000 0.000
0.000 4.660 0.000
0.000 0.000 5.792
Sr In Te
1 2 1
direct
0.000 0.000 0.000
0.000 0.500 0.500
0.500 0.000 0.500
0.500 0.500 0.000
```

**E_form (uncorrected)**: -570 meV per atom
**Crystal system**: tetragonal

---

| no. | electronic total energy (eV/f.u.) |
| --- | --- |
| 1 | -27.0 |
| 2 | -16.9 |
| 3 | -16.9 |
| 4 | -16.6 |
| 5 | -20.7 |
| 6 | -26.7 |
| 7 | -15.7 |
| 8 | -26.7 |
| 9 | -15.5 |
| 10 | -16.5 |
| 11 | -15.9 |
| 12 | -17.2 |
| 13 | -22.2 |
| 14 | -16.3 |
| 15 | -15.8 |
| 16 | -16.2 |
| 17 | -29.6 |
| 18 | -16.7 |
| 19 | -13.8 |
| 20 | -12.1 |
| 21 | -13.9 |
| 22 | -18.1 |
| 23 | -17.4 |
| 24 | -24.9 |
| 25 | -12.5 |
| 26 | -13.9 |
| 27 | -21.2 |
| 28 | -12.6 |